First-principles (PBE) data for Na3LaTc after structural relaxation, as listed in the Alexandria database.

Structure (extended XYZ):
```
10
Lattice="-6.685 4.872 4.333 -0.930 7.996 4.733 -4.392 8.198 -0.835" Properties=species:S:1:pos:R:3 pbc="T T T"
Na -8.249 11.259 3.586
Na -5.506 9.910 1.831
Na -5.342 12.837 3.788
Na -3.757 9.807 4.645
Na -6.500 11.157 6.399
Na -6.665 8.229 4.442
Tc -9.498 16.665 6.511
Tc -2.508 4.401 1.719
La -8.459 14.841 5.798
La -3.548 6.225 2.432
```

## Properties
ΔE_f (kJ/mol of formula units): 229
Crystal system: trigonal
Relative energy among the computed polymorphs (meV/atom): 440